Entry 1:
Here is BiS8F2 after structural relaxation from Alexandria. Energies are from PBE. Values from VASP.

```
&SYSTEM
  ibrav = 0, nat = 11, ntyp = 3
/
ATOMIC_SPECIES
Bi 208.98 Bi.upf
S 32.06 S.upf
F 19.00 F.upf
CELL_PARAMETERS angstrom
6.3224 0.0000 0.0000
-2.2285 6.5140 0.0000
-2.8549 -1.9747 7.2271
ATOMIC_POSITIONS crystal
Bi 0.0000 0.0000 0.0000
S 0.0938 0.5564 0.6516
S 0.1614 0.3802 0.2938
S 0.3066 0.8977 0.3096
S 0.3722 0.6630 0.2077
S 0.6278 0.3370 0.7923
S 0.6934 0.1023 0.6904
S 0.8386 0.6198 0.7062
S 0.9062 0.4436 0.3484
F 0.3477 0.2207 0.0111
F 0.6523 0.7793 0.9889
```

SG: P-1
Crystal system: triclinic
Total energy: -44.84 eV/cell
Magnetic moment: 0.000 μB per formula unit
Uncorrected formation energy: -37 kJ per mole of atoms

Entry 2:
Here is BiSF after structural relaxation from Alexandria. Energies are from PBE. Values from VASP.

```
&SYSTEM
  ibrav = 0, nat = 12, ntyp = 3
/
ATOMIC_SPECIES
Bi 208.98 Bi.upf
S 32.06 S.upf
F 19.00 F.upf
CELL_PARAMETERS angstrom
3.7332 0.0000 0.0000
0.0000 19.0186 0.0000
0.0000 0.0000 3.7405
ATOMIC_POSITIONS crystal
Bi 0.0000 0.1598 0.2500
Bi 0.0000 0.8402 0.7500
Bi 0.5000 0.3402 0.7500
Bi 0.5000 0.6598 0.2500
S 0.0000 0.3990 0.2500
S 0.0000 0.6010 0.7500
S 0.5000 0.1010 0.7500
S 0.5000 0.8990 0.2500
F 0.0000 0.2500 0.7500
F 0.0000 0.7500 0.2500
F 0.5000 0.2500 0.2500
F 0.5000 0.7500 0.7500
```

SG: Cmcm
Crystal system: orthorhombic
Total energy: -53.40 eV/cell
Magnetic moment: 0.000 μB per formula unit
Uncorrected formation energy: -112 kJ per mole of atoms

Entry 3:
Here is Bi2SF4 after structural relaxation from Alexandria. Energies are from PBE. Values from VASP.

```
&SYSTEM
  ibrav = 0, nat = 14, ntyp = 3
/
ATOMIC_SPECIES
Bi 208.98 Bi.upf
S 32.06 S.upf
F 19.00 F.upf
CELL_PARAMETERS angstrom
3.9358 0.0000 0.0000
0.0000 3.9358 0.0000
0.0000 0.0000 17.9318
ATOMIC_POSITIONS crystal
Bi 0.0000 0.0000 0.1517
Bi 0.0000 0.0000 0.8483
Bi 0.5000 0.5000 0.3483
Bi 0.5000 0.5000 0.6517
S 0.0000 0.0000 0.5000
S 0.5000 0.5000 0.0000
F 0.0000 0.0000 0.2704
F 0.0000 0.0000 0.7296
F 0.0000 0.5000 0.0000
F 0.0000 0.5000 0.5000
F 0.5000 0.0000 0.0000
F 0.5000 0.0000 0.5000
F 0.5000 0.5000 0.2296
F 0.5000 0.5000 0.7704
```

SG: I4/mmm
Crystal system: tetragonal
Total energy: -51.25 eV/cell
Magnetic moment: 0.000 μB per formula unit
Uncorrected formation energy: -86 kJ per mole of atoms

Entry 4:
Here is BiSF3 after structural relaxation from Alexandria. Energies are from PBE. Values from VASP.

```
&SYSTEM
  ibrav = 0, nat = 10, ntyp = 3
/
ATOMIC_SPECIES
Bi 208.98 Bi.upf
S 32.06 S.upf
F 19.00 F.upf
CELL_PARAMETERS angstrom
5.4717 -3.5450 0.0000
5.4717 3.5450 0.0000
-1.6768 0.0000 4.8004
ATOMIC_POSITIONS crystal
Bi 0.1729 0.1729 0.4567
Bi 0.8271 0.8271 0.5433
S 0.4409 0.4409 0.3142
S 0.5591 0.5591 0.6858
F 0.0684 0.0684 0.7639
F 0.1060 0.5042 0.7543
F 0.4958 0.8940 0.2457
F 0.5042 0.1060 0.7543
F 0.8940 0.4958 0.2457
F 0.9316 0.9316 0.2361
```

SG: C2/m
Crystal system: monoclinic
Total energy: -44.65 eV/cell
Magnetic moment: 1.007 μB per formula unit
Uncorrected formation energy: -168 kJ per mole of atoms

Entry 5:
Here is Bi3SF after structural relaxation from Alexandria. Energies are from PBE. Values from VASP.

```
&SYSTEM
  ibrav = 0, nat = 5, ntyp = 3
/
ATOMIC_SPECIES
Bi 208.98 Bi.upf
S 32.06 S.upf
F 19.00 F.upf
CELL_PARAMETERS angstrom
5.0661 0.0000 0.0000
0.0000 5.0661 0.0000
0.0000 0.0000 5.0661
ATOMIC_POSITIONS crystal
Bi 0.0000 0.0000 0.5000
Bi 0.0000 0.5000 0.0000
Bi 0.5000 0.0000 0.0000
S 0.5000 0.5000 0.5000
F 0.0000 0.0000 0.0000
```

SG: Pm-3m
Crystal system: cubic
Total energy: -17.36 eV/cell
Magnetic moment: 0.000 μB per formula unit
Uncorrected formation energy: 5 kJ per mole of atoms

Entry 6:
Here is Bi2SF4 after structural relaxation from Alexandria. Energies are from PBE. Values from VASP.

```
&SYSTEM
  ibrav = 0, nat = 14, ntyp = 3
/
ATOMIC_SPECIES
Bi 208.98 Bi.upf
S 32.06 S.upf
F 19.00 F.upf
CELL_PARAMETERS angstrom
7.3829 0.0000 0.0000
0.0000 7.3829 0.0000
0.0000 0.0000 3.9107
ATOMIC_POSITIONS crystal
Bi 0.2147 0.2147 0.0000
Bi 0.2853 0.7147 0.5000
Bi 0.7147 0.2853 0.5000
Bi 0.7853 0.7853 0.0000
S 0.0000 0.0000 0.5000
S 0.5000 0.5000 0.0000
F 0.0898 0.6660 0.0000
F 0.1660 0.4102 0.5000
F 0.3340 0.9102 0.0000
F 0.4102 0.1660 0.5000
F 0.5898 0.8340 0.5000
F 0.6660 0.0898 0.0000
F 0.8340 0.5898 0.5000
F 0.9102 0.3340 0.0000
```

SG: P4_2/mnm
Crystal system: tetragonal
Total energy: -65.16 eV/cell
Magnetic moment: 0.000 μB per formula unit
Uncorrected formation energy: -182 kJ per mole of atoms

Entry 7:
Here is BiSF after structural relaxation from Alexandria. Energies are from PBE. Values from VASP.

```
&SYSTEM
  ibrav = 0, nat = 6, ntyp = 3
/
ATOMIC_SPECIES
Bi 208.98 Bi.upf
S 32.06 S.upf
F 19.00 F.upf
CELL_PARAMETERS angstrom
3.8744 0.0000 0.0000
0.0000 3.8744 0.0000
0.0000 0.0000 8.5582
ATOMIC_POSITIONS crystal
Bi 0.0000 0.0000 0.0000
Bi 0.5000 0.5000 0.5000
S 0.0000 0.0000 0.4119
S 0.5000 0.5000 0.9119
F 0.0000 0.0000 0.7511
F 0.5000 0.5000 0.2511
```

SG: I4mm
Crystal system: tetragonal
Total energy: -26.12 eV/cell
Magnetic moment: 0.000 μB per formula unit
Uncorrected formation energy: -102 kJ per mole of atoms

Entry 8:
Here is BiSF3 after structural relaxation from Alexandria. Energies are from PBE. Values from VASP.

```
&SYSTEM
  ibrav = 0, nat = 5, ntyp = 3
/
ATOMIC_SPECIES
Bi 208.98 Bi.upf
S 32.06 S.upf
F 19.00 F.upf
CELL_PARAMETERS angstrom
4.6003 0.0000 0.0000
0.0000 4.6003 0.0000
0.0000 0.0000 4.6003
ATOMIC_POSITIONS crystal
Bi 0.0000 0.0000 0.0000
S 0.5000 0.5000 0.5000
F 0.0000 0.0000 0.5000
F 0.0000 0.5000 0.0000
F 0.5000 0.0000 0.0000
```

SG: Pm-3m
Crystal system: cubic
Total energy: -20.17 eV/cell
Magnetic moment: 2.000 μB per formula unit
Uncorrected formation energy: -126 kJ per mole of atoms

Look up the uncorrected formation energy of the fourth one. -168 kJ per mole of atoms

What is the uncorrected formation energy in the eighth record? -126 kJ per mole of atoms

Which formula does entry 2 have? BiSF

Among the records above, which one has the highest uncorrected formation energy? Bi3SF